[1]
Entry from the Alexandria database: an optimized crystal structure of U2TaVC4 (GGA-PBE).

As for the space group: P2/m, No. 10. Its formation energy is -35 kJ/mol of atoms. The calculation puts the final energy at -10.42 eV per atom.

Cell lengths 5.521, 3.216, 5.836 Å; angles 90.00, 108.44, 90.00 degrees
Sites, in units of the cell vectors:
U 0.000 0.000 0.000
U 0.500 0.500 0.000
Ta 0.000 0.500 0.500
V 0.500 0.000 0.500
C 0.247 0.000 0.720
C 0.267 0.500 0.282
C 0.733 0.500 0.718
C 0.753 0.000 0.280



[2]
Entry from the Alexandria database: an optimized crystal structure of UTaWC3 (GGA-PBE).

As for the space group: P2_1/m, No. 11. Its formation energy is -37 kJ/mol of atoms. The calculation puts the final energy at -11.01 eV per atom.

Cell lengths 5.521, 3.192, 8.468 Å; angles 90.00, 102.61, 90.00 degrees
Sites, in units of the cell vectors:
U 0.148 0.250 0.195
U 0.852 0.750 0.805
Ta 0.268 0.750 0.552
Ta 0.732 0.250 0.448
W 0.375 0.250 0.864
W 0.625 0.750 0.136
C 0.058 0.250 0.663
C 0.241 0.750 0.990
C 0.456 0.750 0.343
C 0.544 0.250 0.657
C 0.759 0.250 0.010
C 0.942 0.750 0.337